Entry 1:
{
  "formula": "KNi2",
  "functional": "PBE-GGA",
  "state": "optimized geometry",
  "final_energy_ev_per_cell": -10.01,
  "sg": "P-3m1, No. 164",
  "lattice": [[2.8183, 0.0000, 0.0000], [-1.4092, 2.4407, 0.0000], [0.0000, 0.0000, 7.3107]],
  "species": ["K", "Ni", "Ni"],
  "fractional_positions": [[0.0000, 0.0000, 0.0000], [0.3333, 0.6667, 0.6225], [0.6667, 0.3333, 0.3775]]
}

Entry 2:
{
  "formula": "KNi5",
  "functional": "PBE-GGA",
  "state": "optimized geometry",
  "final_energy_ev_per_cell": -27.63,
  "sg": "Cm, No. 8",
  "lattice": [[2.7148, -0.1016, 5.5482], [4.6044, 0.6832, 4.0614], [-0.7018, 5.7158, 2.1251]],
  "species": ["Ni", "Ni", "K", "Ni", "Ni", "Ni"],
  "fractional_positions": [[0.2399, 0.2399, 0.2998], [0.3785, 0.3785, 0.6246], [0.0114, 0.0114, 0.0834], [0.7047, 0.7047, 0.6436], [0.7806, 0.7806, 0.9603], [0.0515, 0.0515, 0.5550]]
}

Entry 3:
{
  "formula": "KNi2",
  "functional": "PBE-GGA",
  "state": "optimized geometry",
  "final_energy_ev_per_cell": -31.31,
  "sg": "Pa-3, No. 205",
  "lattice": [[-3.9741, -3.2091, 4.7318], [5.6456, -1.2926, 3.8649], [-0.9029, 6.0425, 3.3398]],
  "species": ["K", "K", "K", "Ni", "K", "Ni", "Ni", "Ni", "Ni", "Ni", "Ni", "Ni"],
  "fractional_positions": [[0.0000, 0.0000, 0.0000], [0.0000, 0.5000, 0.5000], [0.5000, 0.5000, 0.0000], [0.9098, 0.0902, 0.4098], [0.5000, 0.0000, 0.5000], [0.5902, 0.5902, 0.4098], [0.0902, 0.9098, 0.5902], [0.9098, 0.4098, 0.9098], [0.4098, 0.4098, 0.5902], [0.0902, 0.5902, 0.0902], [0.5902, 0.9098, 0.9098], [0.4098, 0.0902, 0.0902]]
}

Entry 4:
{
  "formula": "KNi3",
  "functional": "PBE-GGA",
  "state": "optimized geometry",
  "final_energy_ev_per_cell": -15.40,
  "sg": "Immm, No. 71",
  "relative_energy_mev_per_atom": 230,
  "lattice": [[5.7028, -0.0331, 0.0116], [2.9124, 4.9031, -0.0116], [-3.4968, -3.8693, 2.3073]],
  "species": ["Ni", "K", "Ni", "Ni"],
  "fractional_positions": [[0.5000, 0.5000, 0.0000], [0.0000, 0.0000, 0.0000], [0.2934, 0.7934, 0.5000], [0.7066, 0.2066, 0.5000]]
}

Entry 5:
{
  "formula": "K4Ni",
  "functional": "PBE-GGA",
  "state": "optimized geometry",
  "final_energy_ev_per_cell": -7.97,
  "sg": "Im-3m, No. 229",
  "relative_energy_mev_per_atom": 30,
  "lattice": [[-4.0010, 4.0010, 4.0010], [4.0010, -4.0010, 4.0010], [4.0010, 4.0010, -4.0010]],
  "species": ["K", "Ni", "K", "K", "K"],
  "fractional_positions": [[0.5000, 0.0000, 0.0000], [0.0000, 0.0000, 0.0000], [0.0000, 0.0000, 0.5000], [0.5000, 0.5000, 0.5000], [0.0000, 0.5000, 0.0000]]
}

Entry 6:
{
  "formula": "KNi2",
  "functional": "PBE-GGA",
  "state": "optimized geometry",
  "final_energy_ev_per_cell": -22.21,
  "sg": "C2/m, No. 12",
  "lattice": [[1.4123, 4.9947, -0.2592], [-1.4123, 4.9947, -0.2592], [0.0000, 2.9772, 9.1245]],
  "species": ["Ni", "Ni", "K", "Ni", "Ni", "K"],
  "fractional_positions": [[0.1547, 0.1547, 0.4937], [0.8453, 0.8453, 0.5063], [0.1693, 0.1693, 0.8201], [0.4730, 0.4730, 0.6310], [0.5270, 0.5270, 0.3690], [0.8307, 0.8307, 0.1799]]
}

Entry 7:
{
  "formula": "K2Ni3",
  "functional": "PBE-GGA",
  "state": "optimized geometry",
  "final_energy_ev_per_cell": -14.99,
  "sg": "P-3m1, No. 164",
  "lattice": [[0.5057, 1.1670, -3.4758], [-2.7395, -2.3640, 0.7784], [-6.6134, 8.2604, 1.8114]],
  "species": ["Ni", "Ni", "K", "K", "Ni"],
  "fractional_positions": [[0.0000, 0.0000, 0.0000], [0.6667, 0.3333, 0.5241], [0.6667, 0.3333, 0.2277], [0.3333, 0.6667, 0.7723], [0.3333, 0.6667, 0.4759]]
}

Entry 8:
{
  "formula": "K4Ni",
  "functional": "PBE-GGA",
  "state": "optimized geometry",
  "final_energy_ev_per_cell": -8.12,
  "sg": "Pm-3m, No. 221",
  "relative_energy_mev_per_atom": 0,
  "lattice": [[-6.4397, -0.7443, 0.3780], [0.8330, -5.9197, 2.5357], [0.0539, 2.5632, 5.9661]],
  "species": ["Ni", "K", "K", "K", "K"],
  "fractional_positions": [[0.5000, 0.5000, 0.5000], [0.5000, 0.0000, 0.5000], [0.5000, 0.5000, 0.0000], [0.0000, 0.0000, 0.0000], [0.0000, 0.5000, 0.5000]]
}

Entry 9:
{
  "formula": "KNi2",
  "functional": "PBE-GGA",
  "state": "optimized geometry",
  "final_energy_ev_per_cell": -19.83,
  "sg": "Pnnm, No. 58",
  "lattice": [[-0.1203, -2.0738, -1.6238], [4.2386, -2.4806, 2.8543], [-5.3782, -3.5356, 4.9139]],
  "species": ["K", "K", "Ni", "Ni", "Ni", "Ni"],
  "fractional_positions": [[0.0000, 0.0000, 0.0000], [0.5000, 0.5000, 0.5000], [0.2545, 0.5000, 0.1189], [0.7545, 0.0000, 0.3811], [0.2455, 0.0000, 0.6189], [0.7455, 0.5000, 0.8811]]
}

Entry 10:
{
  "formula": "K2Ni",
  "functional": "PBE-GGA",
  "state": "optimized geometry",
  "final_energy_ev_per_cell": -5.94,
  "sg": "Fm-3m, No. 225",
  "relative_energy_mev_per_atom": 294,
  "lattice": [[5.5321, 0.0000, 0.0000], [2.7661, 4.7909, 0.0000], [2.7661, 1.5970, 4.5169]],
  "species": ["K", "K", "Ni"],
  "fractional_positions": [[0.7500, 0.7500, 0.7500], [0.2500, 0.2500, 0.2500], [0.0000, 0.0000, 0.0000]]
}

Entry 11:
{
  "formula": "K2Ni",
  "functional": "PBE-GGA",
  "state": "optimized geometry",
  "final_energy_ev_per_cell": -5.67,
  "sg": "P6/mmm, No. 191",
  "relative_energy_mev_per_atom": 385,
  "lattice": [[-3.5347, 2.5864, -3.5604], [-1.0890, -5.2598, 1.7345], [-1.7231, 1.2109, 2.5903]],
  "species": ["Ni", "K", "K"],
  "fractional_positions": [[0.0000, 0.0000, 0.0000], [0.6667, 0.3333, 0.5000], [0.3333, 0.6667, 0.5000]]
}

Entry 12:
{
  "formula": "K3Ni5",
  "functional": "PBE-GGA",
  "state": "optimized geometry",
  "final_energy_ev_per_cell": -53.97,
  "sg": "P6_3/mcm, No. 193",
  "lattice": [[-1.3769, 0.9483, 10.5438], [-5.2593, -7.5508, -5.4122], [3.2420, -2.7381, 0.6696]],
  "species": ["K", "K", "K", "Ni", "Ni", "Ni", "K", "Ni", "Ni", "Ni", "Ni", "K", "Ni", "K", "Ni", "Ni"],
  "fractional_positions": [[0.0000, 0.3606, 0.7500], [0.3606, 0.3606, 0.2500], [0.6394, 0.6394, 0.7500], [0.8761, 0.0000, 0.7500], [0.0000, 0.8761, 0.7500], [0.0000, 0.1239, 0.2500], [0.0000, 0.6394, 0.2500], [0.6667, 0.3333, 0.5000], [0.1239, 0.0000, 0.2500], [0.8761, 0.8761, 0.2500], [0.1239, 0.1239, 0.7500], [0.3606, 0.0000, 0.7500], [0.3333, 0.6667, 0.0000], [0.6394, 0.0000, 0.2500], [0.6667, 0.3333, 0.0000], [0.3333, 0.6667, 0.5000]]
}

The spin magnetization results, record by record, are as follows: 1.0, 2.6, 5.3, 1.7, 0.2, 2.0, 1.6, 0.2, 2.3, 0.1, 0.0, 6.4 Bohr magnetons per cell.